DFT (PBE) results for a geometry-optimized PSeSO2 structure.

Values from the calculation:
As for the space group: No. 123. The uncorrected energy is -0.160 hartree per atom. The calculation puts the density of states at the Fermi level at 3.19 states/eV/cell.

a = 3.620 Å, b = 3.620 Å, c = 5.675 Å
α = 90.00°, β = 90.00°, γ = 90.00°
Atoms (fractional coordinates):
P (0.000, 0.000, 0.000)
Se (0.000, 0.000, 0.500)
S (0.500, 0.500, 0.000)
O (0.000, 0.500, 0.500)
O (0.500, 0.000, 0.500)

DFT (PBE) results for a geometry-optimized Zr3C structure.

Values from the calculation:
As for the space group: No. 223. The calculation puts the density of states at the Fermi level at 12.16 states/eV/cell. The formation energy from the elements comes out at 770 meV/atom. Its energy relative to the lowest polymorph listed for this composition is 1168.6 meV per atom.

a = 5.240 Å, b = 5.240 Å, c = 5.240 Å
α = 90.00°, β = 90.00°, γ = 90.00°
Atoms (fractional coordinates):
Zr (0.000, 0.250, 0.500)
Zr (0.000, 0.750, 0.500)
Zr (0.250, 0.500, 0.000)
Zr (0.500, 0.000, 0.250)
Zr (0.500, 0.000, 0.750)
Zr (0.750, 0.500, 0.000)
C (0.000, 0.000, 0.000)
C (0.500, 0.500, 0.500)

> density of states at the Fermi level of number 1 (PSeSO2)?

3.19 states/eV/cell

> Which of these has the lowest density of states at the Fermi level?

PSeSO2

> Which value of density of states at the Fermi level does entry 1 give?

3.19 states/eV/cell

> Which value of density of states at the Fermi level does entry 1 give?

3.19 states/eV/cell